1.
Below is a geometry-optimized Na2CuRe structure, with properties calculated at the PBE-GGA level.

Output
size of the total moment	13.33	μB/cell
formation energy from the elements	572	kJ/mol of formula units
energy above the most stable polymorph in this dataset	0.38	eV per formula unit

Cell and atoms, written as extended XYZ:
```
16
Lattice="6.7972 0.0000 0.0000 0.0000 6.7972 0.0000 0.0000 0.0000 6.7972" Properties=species:S:1:pos:R:3 pbc="T T T"
Na 1.6993 1.6993 1.6993
Na 1.6993 1.6993 5.0979
Na 1.6993 5.0979 1.6993
Na 1.6993 5.0979 5.0979
Na 5.0979 1.6993 1.6993
Na 5.0979 1.6993 5.0979
Na 5.0979 5.0979 1.6993
Na 5.0979 5.0979 5.0979
Cu 0.0000 0.0000 0.0000
Cu 0.0000 3.3986 3.3986
Cu 3.3986 0.0000 3.3986
Cu 3.3986 3.3986 0.0000
Re 0.0000 0.0000 3.3986
Re 0.0000 3.3986 0.0000
Re 3.3986 0.0000 0.0000
Re 3.3986 3.3986 3.3986
```



2.
Below is a geometry-optimized NaCuRe2 structure, with properties calculated at the PBE-GGA level.

Output
size of the total moment	4.65	μB/cell
formation energy from the elements	569	kJ/mol of formula units
energy above the most stable polymorph in this dataset	0.00	eV per formula unit

Cell and atoms, written as extended XYZ:
```
16
Lattice="6.1615 0.0000 0.0000 0.0000 6.1615 0.0000 0.0000 0.0000 6.1615" Properties=species:S:1:pos:R:3 pbc="T T T"
Na 0.0000 0.0000 0.0000
Na 0.0000 3.0807 3.0807
Na 3.0807 0.0000 3.0807
Na 3.0807 3.0807 0.0000
Cu 0.0000 0.0000 3.0807
Cu 0.0000 3.0807 0.0000
Cu 3.0807 0.0000 0.0000
Cu 3.0807 3.0807 3.0807
Re 1.5404 1.5404 1.5404
Re 1.5404 1.5404 4.6211
Re 1.5404 4.6211 1.5404
Re 1.5404 4.6211 4.6211
Re 4.6211 1.5404 1.5404
Re 4.6211 1.5404 4.6211
Re 4.6211 4.6211 1.5404
Re 4.6211 4.6211 4.6211
```



3.
Below is a geometry-optimized NaCuRe2Rh structure, with properties calculated at the PBE-GGA level.

Output
size of the total moment	3.31	μB/cell
formation energy from the elements	1300	kJ/mol of formula units

Cell and atoms, written as extended XYZ:
```
5
Lattice="4.5418 0.0000 0.0000 0.0000 4.5418 0.0000 0.0000 0.0000 4.0982" Properties=species:S:1:pos:R:3 pbc="T T T"
Na 0.0000 0.0000 0.0000
Cu 0.0000 0.0000 2.0491
Re 0.0000 2.2709 0.0000
Re 2.2709 0.0000 0.0000
Rh 2.2709 2.2709 2.0491
```



4.
Below is a geometry-optimized NaCu2ReSe structure, with properties calculated at the PBE-GGA level.

Output
size of the total moment	0.00	μB/cell
formation energy (no corrections)	49	kJ/mol of atoms
energy above the most stable polymorph in this dataset	0.00	eV per formula unit

Cell and atoms, written as extended XYZ:
```
5
Lattice="4.8718 0.0000 0.0000 0.0000 4.8718 0.0000 0.0000 0.0000 4.6563" Properties=species:S:1:pos:R:3 pbc="T T T"
Na 0.0000 0.0000 0.0000
Cu 0.0000 2.4359 2.3281
Cu 2.4359 0.0000 2.3281
Re 2.4359 2.4359 2.3281
Se 2.4359 2.4359 0.0000
```



5.
Below is a geometry-optimized NaCu2ReSe structure, with properties calculated at the PBE-GGA level.

Output
size of the total moment	3.20	μB/cell
formation energy (no corrections)	186	kJ/mol of atoms
energy above the most stable polymorph in this dataset	7.13	eV per formula unit

Cell and atoms, written as extended XYZ:
```
5
Lattice="4.4131 0.0000 0.0000 0.0000 4.4131 0.0000 0.0000 0.0000 5.0845" Properties=species:S:1:pos:R:3 pbc="T T T"
Na 0.0000 0.0000 0.0000
Cu 0.0000 2.2066 0.0000
Cu 2.2066 0.0000 0.0000
Re 0.0000 0.0000 2.5422
Se 2.2066 2.2066 2.5422
```



6.
Below is a geometry-optimized Na2CuReSn structure, with properties calculated at the PBE-GGA level.

Output
size of the total moment	2.76	μB/cell
formation energy from the elements	654	kJ/mol of formula units

Cell and atoms, written as extended XYZ:
```
5
Lattice="5.6643 0.0000 0.0000 0.0000 5.6643 0.0000 0.0000 0.0000 5.1218" Properties=species:S:1:pos:R:3 pbc="T T T"
Na 0.0000 2.8321 0.0000
Na 2.8321 0.0000 0.0000
Cu 0.0000 0.0000 2.5609
Re 2.8321 2.8321 2.5609
Sn 2.8321 2.8321 0.0000
```